# 1
The following is a PBE calculation of a relaxed Na2ZnHg8 crystal, from Alexandria.

Unit cell a=4.744 b=4.744 c=12.333 alpha=90.00 beta=90.00 gamma=90.00
Space group P4/mmm (No. 123)
Unique sites:
Na 0.000 0.000 0.186 (multiplicity 2)
Zn 0.000 0.000 0.500 (multiplicity 1)
Hg 0.000 0.500 0.000 (multiplicity 2)
Hg 0.000 0.500 0.368 (multiplicity 4)
Hg 0.500 0.500 0.184 (multiplicity 2)

M_tot   0.00 μB/cell
DFT total energy   -0.70 eV/atom
DOS(E_F)   2.04 states/eV/cell

# 2
The following is a PBE calculation of a relaxed CuSiC3 crystal, from Alexandria.

Unit cell a=2.502 b=4.922 c=4.927 alpha=91.65 beta=104.21 gamma=90.12
Space group P1 (No. 1)
Unique sites:
Cu 0.000 0.000 0.000 (multiplicity 1)
Si 0.714 0.086 0.427 (multiplicity 1)
C 0.299 0.588 0.595 (multiplicity 1)
C 0.334 0.881 0.665 (multiplicity 1)
C 0.781 0.449 0.560 (multiplicity 1)

Distance to the lowest polymorph of the same formula   0.29 eV per formula unit
Formation energy (no corrections)   532 meV/atom
M_tot   0.00 μB/cell
DFT total energy   -6.91 eV/atom
DOS(E_F)   1.35 states/eV/cell

# 3
The following is a PBE calculation of a relaxed Ta2CdRu3 crystal, from Alexandria.

Unit cell a=3.193 b=3.193 c=9.684 alpha=90.00 beta=90.00 gamma=90.00
Space group P4/mmm (No. 123)
Unique sites:
Ta 0.000 0.000 0.170 (multiplicity 2)
Cd 0.000 0.000 0.500 (multiplicity 1)
Ru 0.500 0.500 0.000 (multiplicity 1)
Ru 0.500 0.500 0.309 (multiplicity 2)

M_tot   0.00 μB/cell
DFT total energy   -9.05 eV/atom
DOS(E_F)   1.91 states/eV/cell

M_tot of number 3 (Ta2CdRu3)? 0.00 μB/cell